--- one ---
Density functional theory data (meta-GGA SCAN) for a crystal of ZnTeW2 relaxed with PBEsol.

POSCAR file:
```
ZnTeW2
1.0
3.237 0.000 0.000
0.000 4.693 -0.029
-1.619 -0.570 4.502
W Zn Te
2 1 1
direct
0.247 0.218 0.494
0.753 0.782 0.506
0.500 0.000 0.000
0.000 0.500 0.000
```

--- two ---
Density functional theory data (meta-GGA SCAN) for a crystal of ZnTeW2 relaxed with PBEsol.

POSCAR file:
```
ZnTeW2
1.0
4.047 0.000 0.000
0.000 4.047 0.000
-2.023 -2.023 4.034
W Zn Te
2 1 1
direct
0.000 0.000 0.000
0.750 0.250 0.500
0.500 0.500 0.000
0.250 0.750 0.500
```

--- three ---
Density functional theory data (meta-GGA SCAN) for a crystal of ZnTeW2 relaxed with PBEsol.

POSCAR file:
```
ZnTeW2
1.0
-2.970 0.243 0.811
0.220 -4.163 2.055
2.615 2.066 3.904
W Zn Te
2 1 1
direct
0.680 0.500 0.186
0.078 0.000 0.064
0.738 0.000 0.500
0.004 0.500 0.749
```

--- four ---
Density functional theory data (meta-GGA SCAN) for a crystal of ZnTeW2 relaxed with PBEsol.

POSCAR file:
```
ZnTeW2
1.0
-3.405 -0.301 1.951
1.967 -0.847 3.302
0.904 4.796 -1.654
Zn W Te
1 2 1
direct
0.500 0.500 0.000
0.750 0.250 0.500
0.250 0.750 0.500
0.000 0.000 0.000
```

The structure with the least stability is four.

--- one ---
Density functional theory data (meta-GGA SCAN) for a crystal of ZrTeW2 relaxed with PBEsol.

POSCAR file:
```
ZrTeW2
1.0
-0.339 -1.943 2.798
3.924 1.765 1.701
-4.162 3.410 -0.229
W Zr Te
2 1 1
direct
0.008 0.008 0.016
0.736 0.236 0.473
0.496 0.496 0.992
0.260 0.760 0.519
```

--- two ---
Density functional theory data (meta-GGA SCAN) for a crystal of ZrTeW2 relaxed with PBEsol.

POSCAR file:
```
ZrTeW2
1.0
3.886 0.000 0.000
0.000 3.886 0.000
-1.943 -1.943 4.838
Te Zr W
1 1 2
direct
0.000 0.000 0.000
0.500 0.500 0.000
0.250 0.750 0.500
0.750 0.250 0.500
```

--- three ---
Density functional theory data (meta-GGA SCAN) for a crystal of ZrTeW2 relaxed with PBEsol.

POSCAR file:
```
ZrTeW2
1.0
2.998 0.000 -0.005
0.000 4.901 0.000
-0.055 0.000 5.069
Zr W Te
1 2 1
direct
0.500 0.500 0.500
0.855 0.000 0.740
0.145 0.000 0.260
0.000 0.500 0.000
```

The structure with the least stability is three.

--- one ---
Density functional theory data (meta-GGA SCAN) for a crystal of Y3Te relaxed with PBEsol.

POSCAR file:
```
Y3Te
1.0
-6.277 0.779 0.715
0.100 -4.519 5.806
1.608 7.571 5.865
Y Te
12 4
direct
0.124 0.302 0.461
0.624 0.198 0.539
0.139 0.018 0.750
0.876 0.698 0.961
0.624 0.198 0.961
0.639 0.482 0.250
0.876 0.698 0.539
0.376 0.802 0.461
0.376 0.802 0.039
0.361 0.518 0.750
0.124 0.302 0.039
0.861 0.982 0.250
0.401 0.113 0.250
0.099 0.613 0.250
0.901 0.387 0.750
0.599 0.887 0.750
```

--- two ---
Density functional theory data (meta-GGA SCAN) for a crystal of Y3Te relaxed with PBEsol.

POSCAR file:
```
Y3Te
1.0
-0.761 -3.609 1.058
3.391 -0.191 1.785
-3.228 2.559 6.405
Y Te
3 1
direct
0.000 0.000 0.500
0.500 0.500 0.776
0.500 0.500 0.224
0.000 0.000 0.000
```

--- three ---
Density functional theory data (meta-GGA SCAN) for a crystal of Y3Te relaxed with PBEsol.

POSCAR file:
```
Y3Te
1.0
3.741 0.000 0.000
0.000 5.863 0.000
-1.871 -2.932 5.130
Y Te
3 1
direct
0.500 0.453 0.000
0.722 0.063 0.444
0.278 0.619 0.556
0.000 0.032 0.000
```

The structure with the least stability is three.

--- one ---
Density functional theory data (meta-GGA SCAN) for a crystal of Y5Te relaxed with PBEsol.

POSCAR file:
```
Y5Te
1.0
3.723 0.000 0.000
-1.861 6.028 0.043
0.000 -2.018 7.753
Te Y
1 5
direct
0.990 0.980 0.986
0.400 0.799 0.245
0.342 0.684 0.691
0.056 0.112 0.610
0.685 0.369 0.352
0.695 0.390 0.949
```

--- two ---
Density functional theory data (meta-GGA SCAN) for a crystal of Y5Te relaxed with PBEsol.

POSCAR file:
```
Y5Te
1.0
-2.469 -1.057 2.647
-1.334 -2.667 -2.309
8.206 -7.972 4.471
Y Te
5 1
direct
0.000 0.000 0.860
0.000 0.000 0.140
0.500 0.500 0.315
0.000 0.000 0.500
0.500 0.500 0.685
0.500 0.500 0.000
```

--- three ---
Density functional theory data (meta-GGA SCAN) for a crystal of Y5Te relaxed with PBEsol.

POSCAR file:
```
Y5Te
1.0
-4.442 0.538 -1.374
-1.441 -3.007 3.479
1.477 5.469 5.338
Y Te
5 1
direct
0.333 0.500 0.667
0.667 0.500 0.333
0.000 0.500 0.000
0.839 0.000 0.678
0.161 0.000 0.322
0.500 0.000 0.000
```

The structure with the least stability is three.

--- one ---
Density functional theory data (meta-GGA SCAN) for a crystal of Y2ZnTe relaxed with PBEsol.

POSCAR file:
```
Y2ZnTe
1.0
3.649 0.033 0.040
-0.047 5.162 0.001
-0.047 -0.909 5.081
Zn Y Te
1 2 1
direct
0.500 0.500 0.500
0.000 0.000 0.500
0.000 0.500 0.000
0.500 0.000 0.000
```

--- two ---
Density functional theory data (meta-GGA SCAN) for a crystal of Y2ZnTe relaxed with PBEsol.

POSCAR file:
```
Y2ZnTe
1.0
-2.583 0.179 3.342
-0.798 -4.032 -0.400
5.581 -1.274 1.708
Y Te Zn
2 1 1
direct
0.989 0.500 0.979
0.274 0.000 0.549
0.710 0.500 0.419
0.527 0.000 0.053
```

The structure with the least stability is one.

--- one ---
Density functional theory data (meta-GGA SCAN) for a crystal of YZrTe2 relaxed with PBEsol.

POSCAR file:
```
YZrTe2
1.0
-0.290 -2.205 3.257
-2.773 -2.202 -1.737
4.691 -4.066 -2.335
Zr Y Te
1 1 2
direct
0.500 0.500 0.780
0.000 0.000 0.470
0.500 0.500 0.317
0.000 0.000 0.934
```

--- two ---
Density functional theory data (meta-GGA SCAN) for a crystal of YZrTe2 relaxed with PBEsol.

POSCAR file:
```
YZrTe2
1.0
-0.650 0.248 -6.451
-3.758 -5.287 0.175
-3.303 6.457 3.845
Te Y Zr
4 2 2
direct
0.625 0.645 0.750
0.895 0.375 0.250
0.125 0.105 0.750
0.355 0.875 0.250
0.500 0.500 0.000
0.750 0.250 0.500
0.000 0.000 0.000
0.250 0.750 0.500
```

The structure with the least stability is two.

--- one ---
Density functional theory data (meta-GGA SCAN) for a crystal of Tl3W relaxed with PBEsol.

POSCAR file:
```
Tl3W
1.0
5.105 0.000 0.000
2.552 4.421 0.000
2.552 1.474 4.168
Tl W
3 1
direct
0.750 0.750 0.750
0.250 0.250 0.250
0.500 0.500 0.500
0.000 0.000 0.000
```

--- two ---
Density functional theory data (meta-GGA SCAN) for a crystal of Tl3W relaxed with PBEsol.

POSCAR file:
```
Tl3W
1.0
3.059 0.000 0.000
0.000 5.360 0.000
0.000 0.000 5.360
W Tl
1 3
direct
0.500 0.000 0.000
0.000 0.000 0.500
0.000 0.500 0.000
0.500 0.500 0.500
```

The structure with the least stability is one.

--- one ---
Density functional theory data (meta-GGA SCAN) for a crystal of YTlW2 relaxed with PBEsol.

POSCAR file:
```
YTlW2
1.0
-1.934 -0.136 2.108
0.721 -2.729 0.485
6.602 2.852 6.240
W Tl Y
2 1 1
direct
0.000 0.000 0.259
0.000 0.000 0.741
0.500 0.500 0.500
0.500 0.500 0.000
```

--- two ---
Density functional theory data (meta-GGA SCAN) for a crystal of YTlW2 relaxed with PBEsol.

POSCAR file:
```
YTlW2
1.0
3.635 0.000 0.000
0.000 4.484 0.000
0.000 0.000 4.712
W Tl Y
2 1 1
direct
0.000 0.000 0.000
0.500 0.500 0.000
0.000 0.500 0.500
0.500 0.000 0.500
```

The structure with the least stability is one.